A plane-wave DFT calculation with PBE was carried out for an optimized crystal structure of CuTe.

Properties
Formation energy (no corrections) in eV/atom: -0.011
Density of states at the Fermi level in states/eV/cell: 2.8

a = 4.036 Å, b = 4.036 Å, c = 7.205 Å
α = 90.00°, β = 90.00°, γ = 120.00°
Positions (direct):
Te: 0.333 0.667 0.362
Te: 0.667 0.333 0.862
Cu: 0.333 0.667 0.009
Cu: 0.667 0.333 0.509